# 1
Computed, not measured: a relaxed Pm4UCo5 crystal at the GGA-PBE level of DFT.

- Space group: I4mm, No. 107
- Total DFT energy (no corrections): -6.61 eV/atom

Cell lengths 6.954, 6.954, 6.954 Å; angles 97.14, 97.14, 138.71 degrees
Atoms (fractional coordinates):
Pm1 0.000 0.288 0.288
Pm2 0.000 0.712 0.712
Pm3 0.288 0.000 0.288
Pm4 0.712 0.000 0.712
U1 0.401 0.401 0.000
Co1 0.338 0.338 0.654
Co2 0.338 0.684 0.000
Co3 0.684 0.338 0.000
Co4 0.684 0.684 0.346
Co5 0.886 0.886 0.000

# 2
Computed, not measured: a relaxed Sc3InO crystal at the GGA-PBE level of DFT.

- Space group: P2_1/c, No. 14
- Formation energy from raw total energies: -1.288 eV/atom

Cell lengths 7.731, 6.118, 10.746 Å; angles 90.00, 129.68, 90.00 degrees
Atoms (fractional coordinates):
Sc1 0.044 0.157 0.273
Sc2 0.044 0.343 0.773
Sc3 0.274 0.065 0.648
Sc4 0.274 0.435 0.148
Sc5 0.445 0.745 0.481
Sc6 0.445 0.755 0.981
Sc7 0.555 0.245 0.019
Sc8 0.555 0.255 0.519
Sc9 0.726 0.565 0.852
Sc10 0.726 0.935 0.352
Sc11 0.956 0.657 0.227
Sc12 0.956 0.843 0.727
In1 0.226 0.582 0.631
In2 0.226 0.918 0.131
In3 0.774 0.082 0.869
In4 0.774 0.418 0.369
O1 0.256 0.056 0.835
O2 0.256 0.444 0.335
O3 0.744 0.556 0.665
O4 0.744 0.944 0.165

# 3
Computed, not measured: a relaxed AcSi2Ge crystal at the GGA-PBE level of DFT.

- Space group: Cmmm, No. 65
- Formation energy from raw total energies: -0.183 eV/atom
- Distance to the lowest polymorph of the same formula: 0.020 eV per atom

Cell lengths 5.053, 8.933, 4.320 Å; angles 90.00, 90.00, 90.00 degrees
Atoms (fractional coordinates):
Ac1 0.000 0.000 0.000
Ac2 0.500 0.500 0.000
Si1 0.250 0.250 0.500
Si2 0.250 0.750 0.500
Si3 0.750 0.250 0.500
Si4 0.750 0.750 0.500
Ge1 0.000 0.500 0.500
Ge2 0.500 0.000 0.500